(1)
Entry from Alexandria via LeMat-Bulk: Pm3In5Se12 after structural relaxation (PBE).

## Properties
Magnetic moment ... 0.000 μB per cell
Uncorrected formation energy ... -0.9991 eV per atom
Energy ... -4.49 eV per atom

Structure (POSCAR):
```
Pm3In5Se12
1.0
14.4076 0.0000 0.0000
-4.8025 13.5837 0.0000
-4.8025 -6.7918 11.7638
Se In Pm
48 20 12
Direct
0.3701 0.4128 0.0861
0.9572 0.3701 0.2839
0.7839 0.3267 0.9139
0.4128 0.3701 0.5861
0.2839 0.4139 0.8267
0.6733 0.4572 0.5872
0.8701 0.2839 0.4572
0.3267 0.5428 0.4128
0.9128 0.8267 0.5428
0.8701 0.5861 0.9128
0.6299 0.5872 0.9139
0.7161 0.5861 0.1733
0.0872 0.1733 0.4572
0.9139 0.8267 0.7839
0.7839 0.4572 0.3701
0.0861 0.9128 0.3701
0.0428 0.6299 0.7161
0.4572 0.6733 0.0872
0.9139 0.0872 0.6299
0.2161 0.6733 0.0861
0.2839 0.8701 0.9572
0.8267 0.9139 0.2839
0.2161 0.5428 0.6299
0.4128 0.0428 0.3267
0.3267 0.7839 0.4139
0.1733 0.0861 0.7161
0.5872 0.9572 0.6733
0.1299 0.4139 0.0872
0.1733 0.0872 0.9572
0.5872 0.6299 0.4139
0.6733 0.2161 0.5861
0.4139 0.2839 0.3267
0.1299 0.7161 0.5428
0.0872 0.9139 0.1299
0.5428 0.3267 0.9128
0.4572 0.7839 0.8701
0.5861 0.7161 0.6733
0.5861 0.8701 0.4128
0.0861 0.1733 0.2161
0.9128 0.0861 0.8701
0.6299 0.0428 0.2161
0.9572 0.5872 0.1733
0.5428 0.2161 0.1299
0.3701 0.9572 0.7839
0.8267 0.9128 0.0428
0.0428 0.4128 0.8267
0.4139 0.1299 0.5872
0.7161 0.1299 0.0428
0.1250 0.3750 0.2500
0.0000 0.5000 0.5000
0.2500 0.8750 0.1250
0.7500 0.6250 0.3750
0.3750 0.1250 0.7500
0.6250 0.8750 0.2500
0.5000 0.0000 0.5000
0.5000 0.0000 0.0000
0.1250 0.7500 0.3750
0.3750 0.2500 0.1250
0.0000 0.0000 0.5000
0.2500 0.3750 0.6250
0.5000 0.5000 0.0000
0.0000 0.5000 0.0000
0.6250 0.7500 0.8750
0.8750 0.2500 0.6250
0.5000 0.5000 0.5000
0.7500 0.1250 0.8750
0.0000 0.0000 0.0000
0.8750 0.6250 0.7500
0.1250 0.2500 0.8750
0.7500 0.8750 0.6250
0.7500 0.3750 0.1250
0.6250 0.2500 0.3750
0.6250 0.3750 0.7500
0.8750 0.7500 0.1250
0.1250 0.8750 0.7500
0.8750 0.1250 0.2500
0.2500 0.6250 0.8750
0.3750 0.6250 0.2500
0.2500 0.1250 0.3750
0.3750 0.7500 0.6250
```

(2)
Entry from Alexandria via LeMat-Bulk: VCdCu2Pd after structural relaxation (PBE).

## Properties
Magnetic moment ... 2.183 μB per cell
Energy ... -3.75 eV per atom
DOS at the Fermi energy ... 4.31 states/eV per cell

Structure (POSCAR):
```
VCdCu2Pd
1.0
4.6000 0.0000 0.0000
0.0000 4.6000 0.0000
0.0000 0.0000 4.6462
Cu Cd V Pd
2 1 1 1
Direct
0.5000 0.0000 0.0000
0.0000 0.5000 0.0000
0.5000 0.5000 0.5000
0.0000 0.0000 0.0000
0.0000 0.0000 0.5000
```

(3)
Entry from Alexandria via LeMat-Bulk: CePm3Y4S8 after structural relaxation (PBE).

## Properties
Magnetic moment ... 0.504 μB per cell
Uncorrected formation energy ... -2.0219 eV per atom
Energy ... -6.96 eV per atom
DOS at the Fermi energy ... 11.41 states/eV per cell

Structure (POSCAR):
```
CePm3Y4S8
1.0
7.9205 0.0000 0.0000
0.0000 7.9768 0.0342
-3.9603 -3.9566 5.6034
S Y Pm Ce
8 4 3 1
Direct
0.2529 0.7603 0.0074
0.2455 0.2397 0.9926
0.2462 0.2387 0.4925
0.7471 0.2397 0.4941
0.7471 0.2397 0.9926
0.7538 0.7613 0.5075
0.7545 0.7603 0.0074
0.2529 0.7603 0.5059
0.5000 0.0000 0.0000
0.0000 0.0000 0.5000
0.5000 0.0000 0.5000
0.0000 0.0000 0.0000
0.5000 0.5000 0.0000
0.0000 0.5000 0.5000
0.5000 0.5000 0.5000
0.0000 0.5000 0.0000
```

(4)
Entry from Alexandria via LeMat-Bulk: LiTc2Ge2 after structural relaxation (PBE).

## Properties
Magnetic moment ... 0.000 μB per cell
Offset from the most stable computed form ... 0.235 eV/atom
Energy ... -6.22 eV per atom
DOS at the Fermi energy ... 3.53 states/eV per cell

Structure (POSCAR):
```
LiTc2Ge2
1.0
-4.3664 -1.3805 -0.4762
1.3744 -4.3923 0.1313
-1.9591 -2.9029 4.1217
Tc Ge Li
2 2 1
Direct
0.3718 0.3718 0.2564
0.6282 0.6282 0.7436
0.2500 0.7500 0.5000
0.7500 0.2500 0.5000
0.0000 0.0000 0.0000
```

(5)
Entry from Alexandria via LeMat-Bulk: SrSc3Be after structural relaxation (PBE).

## Properties
Magnetic moment ... 0.000 μB per cell
Offset from the most stable computed form ... 0.000 eV/atom
Energy ... -4.60 eV per atom
DOS at the Fermi energy ... 8.52 states/eV per cell

Structure (POSCAR):
```
SrSc3Be
1.0
-0.2935 0.2742 5.0861
-4.3970 -2.5851 -0.1144
2.5709 -4.3899 0.3850
Sc Be Sr
3 1 1
Direct
0.5000 0.0000 0.0000
0.0000 0.0000 0.5000
0.0000 0.5000 0.0000
0.0000 0.0000 0.0000
0.5000 0.5000 0.5000
```

(6)
Entry from Alexandria via LeMat-Bulk: AlPN2O after structural relaxation (PBE).

## Properties
Magnetic moment ... 0.000 μB per cell
Uncorrected formation energy ... 0.0015 eV per atom
Energy ... -6.15 eV per atom
DOS at the Fermi energy ... 1.09 states/eV per cell

Structure (POSCAR):
```
AlPN2O
1.0
-0.0322 3.4809 -0.7865
-0.6187 -0.7801 -3.4271
-3.2727 0.0982 0.5685
O N Al P
1 2 1 1
Direct
0.0000 0.0000 0.5000
0.0000 0.5000 0.0000
0.5000 0.0000 0.0000
0.5000 0.5000 0.5000
0.0000 0.0000 0.0000
```

(7)
Entry from Alexandria via LeMat-Bulk: Tc2MoH after structural relaxation (PBE).

## Properties
Magnetic moment ... 0.000 μB per cell
Offset from the most stable computed form ... 0.000 eV/atom
Energy ... -8.66 eV per atom
DOS at the Fermi energy ... 5.40 states/eV per cell

Structure (POSCAR):
```
Tc2MoH
1.0
-2.2046 0.0040 1.9856
-1.7713 -3.9180 -1.9588
4.7934 -1.4160 5.3250
Tc Mo H
4 2 2
Direct
0.2777 0.0759 0.3828
0.7777 0.1105 0.7206
0.2777 0.6104 0.7205
0.7777 0.5760 0.3829
0.7776 0.8425 0.0516
0.2777 0.3426 0.0517
0.2778 0.8433 0.5518
0.7777 0.3429 0.5515
```

(8)
Entry from Alexandria via LeMat-Bulk: Tb2PmHoTm4 after structural relaxation (PBE).

## Properties
Magnetic moment ... 6.141 μB per cell
Energy ... -4.11 eV per atom
DOS at the Fermi energy ... 34.52 states/eV per cell

Structure (POSCAR):
```
Tb2PmHoTm4
1.0
9.2813 -0.0601 -1.7284
-0.0666 9.2812 -1.7284
-5.8464 -5.8505 8.2399
Tm Tb Pm Ho
8 4 2 2
Direct
0.7488 0.7502 0.9987
0.7497 0.7512 0.5013
0.2502 0.2489 0.4987
0.7502 0.2484 0.9994
0.2511 0.2498 0.0013
0.7484 0.2502 0.4994
0.2498 0.7516 0.0006
0.2516 0.7498 0.5006
0.5000 0.0000 0.5000
0.5000 0.0000 0.0000
0.0000 0.0000 0.5000
0.5000 0.5000 0.0000
0.0000 0.5000 0.5000
0.0000 0.5000 0.0000
0.5000 0.5000 0.5000
0.0000 0.0000 0.0000
```

(9)
Entry from Alexandria via LeMat-Bulk: Ce3ThSc2Se6 after structural relaxation (PBE).

## Properties
Magnetic moment ... 2.932 μB per cell
Uncorrected formation energy ... -1.6798 eV per atom
Energy ... -6.58 eV per atom
DOS at the Fermi energy ... 19.97 states/eV per cell

Structure (POSCAR):
```
Ce3ThSc2Se6
1.0
-0.2147 6.5095 -2.8032
-1.5602 -5.6402 -4.0040
-5.8594 0.2496 4.0403
Se Ce Sc Th
6 3 2 1
Direct
0.9217 0.5709 0.7645
0.7236 0.7236 0.2263
0.2764 0.2764 0.7737
0.0783 0.4291 0.2355
0.4291 0.0783 0.2355
0.5709 0.9217 0.7645
0.5000 0.5000 0.5000
0.8411 0.1589 0.5000
0.1589 0.8411 0.5000
0.3317 0.6683 0.0000
0.6683 0.3317 0.0000
0.0000 0.0000 0.0000
```

(10)
Entry from Alexandria via LeMat-Bulk: Ca3Mg2In after structural relaxation (PBE).

## Properties
Magnetic moment ... 0.000 μB per cell
Offset from the most stable computed form ... 0.012 eV/atom
Energy ... -2.21 eV per atom
DOS at the Fermi energy ... 4.85 states/eV per cell

Structure (POSCAR):
```
Ca3Mg2In
1.0
-3.4638 1.5170 1.1055
-1.6272 -1.2700 -3.3557
-2.7680 -10.0783 5.1564
Ca Mg In
3 2 1
Direct
0.0000 0.0000 0.6592
0.0000 0.0000 0.0000
0.0000 0.0000 0.3408
0.5000 0.5000 0.8283
0.5000 0.5000 0.1717
0.5000 0.5000 0.5000
```

(11)
Entry from Alexandria via LeMat-Bulk: BPI2 after structural relaxation (PBE).

## Properties
Magnetic moment ... 0.000 μB per cell
Uncorrected formation energy ... 1.5830 eV per atom
Offset from the most stable computed form ... 0.240 eV/atom
Energy ... -2.21 eV per atom
DOS at the Fermi energy ... 2.75 states/eV per cell

Structure (POSCAR):
```
BPI2
1.0
2.7730 -3.9065 -1.5647
0.1970 -4.2148 2.7559
-2.2578 -4.1944 -1.6455
I P B
2 1 1
Direct
0.2500 0.2500 0.2500
0.7500 0.7500 0.7500
0.5000 0.5000 0.5000
0.0000 0.0000 0.0000
```

(12)
Entry from Alexandria via LeMat-Bulk: MoOsS after structural relaxation (PBE).

## Properties
Magnetic moment ... 0.000 μB per cell
Uncorrected formation energy ... -0.0222 eV per atom
Offset from the most stable computed form ... 0.095 eV/atom
Energy ... -8.75 eV per atom
DOS at the Fermi energy ... 7.62 states/eV per cell

Structure (POSCAR):
```
MoOsS
1.0
-4.8676 -3.5275 1.4755
0.7566 -1.9213 -2.0972
7.7106 -3.4899 5.9789
Mo S Os
4 4 4
Direct
0.5189 0.5000 0.6549
0.5900 0.5000 0.3965
0.5900 0.0000 0.8965
0.5189 0.0000 0.1549
0.9643 0.5000 0.3641
0.9643 0.0000 0.8641
0.7876 0.0000 0.5766
0.7876 0.5000 0.0766
0.2543 0.0000 0.4592
0.1770 0.0000 0.7053
0.2543 0.5000 0.9592
0.1770 0.5000 0.2053
```

(13)
Entry from Alexandria via LeMat-Bulk: Pr5Dy3In after structural relaxation (PBE).

## Properties
Magnetic moment ... 0.572 μB per cell
Energy ... -4.13 eV per atom
DOS at the Fermi energy ... 23.78 states/eV per cell

Structure (POSCAR):
```
Pr5Dy3In
1.0
7.9315 0.8894 -0.9117
3.0267 7.3851 -0.9117
2.1957 1.6580 11.1764
Dy Pr In
6 10 2
Direct
0.6706 0.6706 0.7826
0.7447 0.7447 0.4748
0.0000 0.0000 0.0000
0.0000 0.0000 0.5000
0.2553 0.2553 0.5252
0.3294 0.3294 0.2174
0.3299 0.6701 0.0000
0.4893 0.4893 0.3721
0.9111 0.3387 0.2482
0.7621 0.7621 0.0391
0.6701 0.3299 0.0000
0.6613 0.0889 0.7518
0.3387 0.9111 0.2482
0.2379 0.2379 0.9609
0.0889 0.6613 0.7518
0.5107 0.5107 0.6279
0.0947 0.0947 0.7413
0.9053 0.9053 0.2587
```

(14)
Entry from Alexandria via LeMat-Bulk: La3Nd4Mg after structural relaxation (PBE).

## Properties
Magnetic moment ... 0.000 μB per cell
Offset from the most stable computed form ... 0.000 eV/atom
Energy ... -4.43 eV per atom
DOS at the Fermi energy ... 22.01 states/eV per cell

Structure (POSCAR):
```
La3Nd4Mg
1.0
6.4090 0.0000 0.0000
0.0000 7.3462 0.0000
0.0000 0.0000 11.7679
Nd La Mg
8 6 2
Direct
0.1452 0.3694 0.2411
0.4875 0.3712 0.0000
0.6452 0.6306 0.7411
0.9875 0.6288 0.5000
0.9622 0.6119 0.0000
0.6452 0.6306 0.2589
0.4622 0.3881 0.5000
0.1452 0.3694 0.7589
0.6486 0.1213 0.7410
0.1486 0.8787 0.2410
0.9953 0.1266 0.5000
0.6486 0.1213 0.2590
0.1486 0.8787 0.7590
0.4953 0.8734 0.0000
0.9825 0.1242 0.0000
0.4825 0.8758 0.5000
```

(15)
Entry from Alexandria via LeMat-Bulk: PuHfTh2P4 after structural relaxation (PBE).

## Properties
Magnetic moment ... 5.261 μB per cell
Energy ... -8.97 eV per atom
DOS at the Fermi energy ... 10.17 states/eV per cell

Structure (POSCAR):
```
PuHfTh2P4
1.0
-1.4411 2.8782 -2.3743
-6.3302 -1.0907 2.5200
3.2058 4.7673 3.8333
P Hf Th Pu
4 1 2 1
Direct
0.5000 0.2348 0.2268
0.0000 0.2482 0.7688
0.0000 0.7518 0.2312
0.5000 0.7652 0.7732
0.0000 0.0000 0.0000
0.5000 0.0000 0.5000
0.0000 0.5000 0.5000
0.5000 0.5000 0.0000
```